DFT (PBE) results for a relaxed ZnHgP2O crystal.

a b c (Å): 4.9758 4.9758 3.6154
angles (deg): 90.00 90.00 90.00
With the nearest neighbours (Å) after each atom.
Fractional positions:
P 0.5000 0.0000 0.0000  2 Zn 2.49
P 0.0000 0.5000 0.0000  2 Zn 2.49
Zn 0.0000 0.0000 0.0000  2 O 1.81
O 0.0000 0.0000 0.5000  2 Zn 1.81
Hg 0.5000 0.5000 0.5000  8 P 3.08

Computed properties:
* energy relative to the lowest polymorph listed for this composition: 0.1639 eV per atom
* total DFT energy (no corrections): -0.1074 hartree per atom
* spin magnetization: 0.00 μB per formula unit